VASP calculation (GGA-PBE) on CdOs after structural relaxation.

abc: 3.238 3.238 3.238
angles: 90.00 90.00 90.00
Fractional positions:
Cd (0.000, 0.000, 0.000)
Os (0.500, 0.500, 0.500)

Computed properties:
Final energy = -5.023 eV/atom
Formation energy = 1049 meV/atom
Spin magnetization = 0.99 μB/f.u.